1.
The following is a DFT calculation (PBE) of LaYOs2 after structural relaxation.

## Properties
Formation enthalpy at 0 K ... 0.454 eV per atom
DFT total energy ... -0.2943 hartree per atom
Energy above the lowest structure with this stoichiometry ... 0.550 eV per atom
Mass density ... 11.505 g cm⁻³

a b c (Å): 4.779 4.779 6.044
angles (deg): 79.32 79.32 40.45
Atoms (fractional coordinates):
Os: 0.004 0.004 0.047
Os: 0.496 0.496 0.453
La: 0.250 0.250 0.250
Y: 0.750 0.750 0.750

=====

2.
The following is a DFT calculation (PBE) of V3BSb after structural relaxation.

## Properties
DFT total energy ... -0.2828 hartree per atom
Energy above the lowest structure with this stoichiometry ... 0.000 eV per atom
Mass density ... 6.786 g cm⁻³

a b c (Å): 4.118 4.118 4.118
angles (deg): 90.00 90.00 90.00
Atoms (fractional coordinates):
V: 0.000 0.000 0.500
V: 0.000 0.500 0.000
V: 0.500 0.000 0.000
Sb: 0.500 0.500 0.500
B: 0.000 0.000 0.000

=====

3.
The following is a DFT calculation (PBE) of LaSc3Ir after structural relaxation.

## Properties
Formation enthalpy at 0 K ... -0.358 eV per atom
DFT total energy ... -0.2541 hartree per atom
Energy above the lowest structure with this stoichiometry ... 0.000 eV per atom
Mass density ... 5.712 g cm⁻³

a b c (Å): 5.136 5.136 5.136
angles (deg): 90.00 90.00 90.00
Atoms (fractional coordinates):
Sc: 0.000 0.000 0.500
Sc: 0.500 0.000 0.000
Sc: 0.000 0.500 0.000
Ir: 0.000 0.000 0.000
La: 0.500 0.500 0.500

=====

Question: Among the records above, which one has the highest DFT total energy?
Answer: LaSc3Ir

=====

Question: Among the records above, which one has the lowest DFT total energy?
Answer: LaYOs2